[1]
## ZrAg2F8 (PBE-GGA)

Data for a relaxed ZrAg2F8 crystal.

Output
ΔE to the lowest computed polymorph = 0 meV per atom
magnetic moment = 0.000 Bohr magnetons per cell

Cell lengths 6.9038, 6.9038, 4.2173 Å; angles 90.00, 90.00, 120.00 degrees
Closest atoms and distances in Å follow each position.
Space group P-3 (No. 147)
Unique sites:
Zr 0.0000 0.0000 0.0000  6 F 2.04
Ag 0.3333 0.6667 0.7441  5 F 2.11-2.24
F 0.1448 0.2912 0.7471  1 Zr 2.04, 1 Ag 2.24
F 0.3333 0.6667 0.2438  2 Ag 2.11

[2]
## Zr2Ag3F14 (PBE-GGA)

Data for a relaxed Zr2Ag3F14 crystal.

Output
magnetic moment = 1.987 Bohr magnetons per cell

Cell lengths 9.5413, 6.8321, 9.3334 Å; angles 90.00, 91.19, 90.00 degrees
Closest atoms and distances in Å follow each position.
Space group C2/m (No. 12)
Unique sites:
Zr 0.0888 0.0000 0.2158  7 F 1.97-2.17
Ag 0.0000 0.5000 0.0000  4 F 2.13
Ag 0.1858 0.5000 0.3956  4 F 2.04-2.20
F 0.0000 0.0000 0.0000  2 Zr 2.17
F 0.0000 0.5000 0.5000  2 Ag 2.04
F 0.0597 0.2971 0.1630  1 Zr 2.11, 1 Ag 2.13
F 0.1138 0.0000 0.7076  1 Zr 2.07, 1 Ag 2.16
F 0.1688 0.1787 0.3864  1 Zr 2.14, 1 Ag 2.20
F 0.2281 0.5000 0.8786  1 Zr 1.97

[3]
## Zr2AgF2 (PBE-GGA)

Data for a relaxed Zr2AgF2 crystal.

Output
ΔE to the lowest computed polymorph = 705 meV per atom
magnetic moment = 0.000 Bohr magnetons per cell

Cell lengths 7.7574, 7.7574, 2.6983 Å; angles 90.00, 90.00, 90.00 degrees
Closest atoms and distances in Å follow each position.
Space group P4/mbm (No. 127)
Unique sites:
Zr 0.1740 0.3260 0.0000  6 F 2.62-2.74, 2 Zr 2.70, 2 Ag 2.87
Ag 0.0000 0.0000 0.0000  2 Ag 2.70, 4 Zr 2.87
F 0.1085 0.6085 0.5000  1 F 2.38, 4 Zr 2.62

| no. | formation energy (no corrections) (eV/atom) |
| --- | --- |
| 1 | -2.21 |
| 2 | -2.47 |
| 3 | -0.93 |